[1]
This record from Alexandria via LeMat-Bulk describes a relaxed structure of Sm6Tl2Ni. The functional is PBE.

a = 8.9366 Å, b = 8.9366 Å, c = 3.7792 Å
α = 90.00°, β = 90.00°, γ = 120.00°
Space group P-62m (No. 189)
One atom of each set of equivalent atoms:
Sm (0.0000, 0.4017, 0.0000) (multiplicity 3)
Sm (0.0000, 0.7654, 0.5000) (multiplicity 3)
Tl (0.3333, 0.6667, 0.5000) (multiplicity 2)
Ni (0.0000, 0.0000, 0.0000) (multiplicity 1)

Summary:
E_form ... -0.2625 eV/atom
Offset from the most stable computed form ... 0 meV per atom



[2]
This record from Alexandria via LeMat-Bulk describes a relaxed structure of Sm2TmNi9. The functional is PBE.

a = 4.9679 Å, b = 4.9679 Å, c = 24.6418 Å
α = 90.00°, β = 90.00°, γ = 120.00°
Space group R-3m (No. 166, hexagonal axes)
One atom of each set of equivalent atoms:
Sm (0.0000, 0.0000, 0.1380) (multiplicity 6)
Tm (0.0000, 0.0000, 0.0000) (multiplicity 3)
Ni (0.0000, 0.0000, 0.3329) (multiplicity 6)
Ni (0.0000, 0.0000, 0.5000) (multiplicity 3)
Ni (0.0002, 0.5001, 0.0803) (multiplicity 18)

Summary:
E_form ... -0.3711 eV/atom



[3]
This record from Alexandria via LeMat-Bulk describes a relaxed structure of SmTmNi. The functional is PBE.

a = 3.659 Å, b = 6.355 Å, c = 6.925 Å
α = 74.55°, β = 74.77°, γ = 73.30°
Space group P-1 (No. 2)
One atom of each set of equivalent atoms:
Sm (0.165, 0.246, 0.424) (multiplicity 2)
Tm (0.413, 0.283, 0.890) (multiplicity 2)
Ni (0.122, 0.932, 0.824) (multiplicity 2)

Summary:
E_form ... -0.2798 eV/atom
Offset from the most stable computed form ... 0 meV per atom



[4]
This record from Alexandria via LeMat-Bulk describes a relaxed structure of SmTm3Ni. The functional is PBE.

a = 12.970 Å, b = 3.589 Å, c = 11.583 Å
α = 90.00°, β = 94.44°, γ = 90.00°
Space group C2/m (No. 12)
One atom of each set of equivalent atoms:
Sm (0.165, 0.000, 0.404) (multiplicity 4)
Tm (0.038, 0.000, 0.138) (multiplicity 4)
Tm (0.073, 0.500, 0.642) (multiplicity 4)
Tm (0.228, 0.000, 0.865) (multiplicity 4)
Ni (0.099, 0.500, 0.966) (multiplicity 4)

Summary:
E_form ... -0.1829 eV/atom
Offset from the most stable computed form ... 0 meV per atom



[5]
This record from Alexandria via LeMat-Bulk describes a relaxed structure of SmTm3Ni2. The functional is PBE.

a = 15.888 Å, b = 3.885 Å, c = 11.316 Å
α = 90.00°, β = 123.54°, γ = 90.00°
Space group C2/m (No. 12)
One atom of each set of equivalent atoms:
Sm (0.151, 0.000, 0.243) (multiplicity 4)
Tm (0.082, 0.500, 0.444) (multiplicity 4)
Tm (0.084, 0.500, 0.938) (multiplicity 4)
Tm (0.154, 0.000, 0.747) (multiplicity 4)
Ni (0.231, 0.000, 0.551) (multiplicity 4)
Ni (0.232, 0.000, 0.049) (multiplicity 4)

Summary:
E_form ... -0.2962 eV/atom



[6]
This record from Alexandria via LeMat-Bulk describes a relaxed structure of Sm2Tm5Ni2. The functional is PBE.

a = 19.939 Å, b = 6.914 Å, c = 6.888 Å
α = 90.00°, β = 90.00°, γ = 90.00°
Space group Cmce (No. 64)
One atom of each set of equivalent atoms:
Sm (0.231, 0.000, 0.000) (multiplicity 8)
Tm (0.000, 0.000, 0.000) (multiplicity 4)
Tm (0.107, 0.177, 0.326) (multiplicity 16)
Ni (0.000, 0.122, 0.622) (multiplicity 8)

Summary:
E_form ... -0.1695 eV/atom



[7]
This record from Alexandria via LeMat-Bulk describes a relaxed structure of SmTmNi. The functional is PBE.

a = 3.412 Å, b = 3.412 Å, c = 12.440 Å
α = 90.00°, β = 90.00°, γ = 90.00°
Space group I4mm (No. 107)
One atom of each set of equivalent atoms:
Sm (0.000, 0.000, 0.000) (multiplicity 2)
Tm (0.000, 0.000, 0.736) (multiplicity 2)
Ni (0.000, 0.000, 0.357) (multiplicity 2)

Summary:
E_form ... -0.2282 eV/atom
Offset from the most stable computed form ... 52 meV per atom



[8]
This record from Alexandria via LeMat-Bulk describes a relaxed structure of SmTm2Ni9. The functional is PBE.

a = 4.9679 Å, b = 4.9679 Å, c = 24.1808 Å
α = 90.00°, β = 90.00°, γ = 120.00°
Space group R-3m (No. 166, hexagonal axes)
One atom of each set of equivalent atoms:
Sm (0.0000, 0.0000, 0.0000) (multiplicity 3)
Tm (0.0000, 0.0000, 0.1399) (multiplicity 6)
Ni (0.0000, 0.0000, 0.3331) (multiplicity 6)
Ni (0.0000, 0.0000, 0.5000) (multiplicity 3)
Ni (0.0018, 0.5009, 0.9167) (multiplicity 18)

Summary:
E_form ... -0.4242 eV/atom



[9]
This record from Alexandria via LeMat-Bulk describes a relaxed structure of SmTm6Ni2. The functional is PBE.

a = 9.027 Å, b = 10.074 Å, c = 10.133 Å
α = 90.00°, β = 90.00°, γ = 90.00°
Space group Immm (No. 71)
One atom of each set of equivalent atoms:
Sm (0.000, 0.000, 0.000) (multiplicity 2)
Sm (0.000, 0.000, 0.500) (multiplicity 2)
Tm (0.000, 0.222, 0.223) (multiplicity 8)
Tm (0.197, 0.307, 0.500) (multiplicity 8)
Tm (0.199, 0.500, 0.191) (multiplicity 8)
Ni (0.000, 0.373, 0.000) (multiplicity 4)
Ni (0.000, 0.500, 0.381) (multiplicity 4)

Summary:
E_form ... -0.1409 eV/atom



[10]
This record from Alexandria via LeMat-Bulk describes a relaxed structure of Sm3TmNi8. The functional is PBE.

a = 5.0992 Å, b = 5.0992 Å, c = 25.0613 Å
α = 90.00°, β = 90.00°, γ = 120.00°
Space group R3m (No. 160, hexagonal axes)
One atom of each set of equivalent atoms:
Sm (0.0000, 0.0000, 0.0000) (multiplicity 3)
Sm (0.0000, 0.0000, 0.1252) (multiplicity 3)
Sm (0.0000, 0.0000, 0.6240) (multiplicity 3)
Tm (0.0000, 0.0000, 0.4996) (multiplicity 3)
Ni (0.0000, 0.0000, 0.3122) (multiplicity 3)
Ni (0.0000, 0.0000, 0.8126) (multiplicity 3)
Ni (0.9998, 0.4999, 0.5611) (multiplicity 9)
Ni (0.0023, 0.5011, 0.0632) (multiplicity 9)

Summary:
E_form ... -0.3950 eV/atom



[11]
This record from Alexandria via LeMat-Bulk describes a relaxed structure of SmTm3Ni8. The functional is PBE.

a = 5.0678 Å, b = 5.0678 Å, c = 8.2390 Å
α = 90.00°, β = 90.00°, γ = 120.00°
Space group P3m1 (No. 156)
One atom of each set of equivalent atoms:
Sm (0.0000, 0.0000, 0.0000) (multiplicity 1)
Tm (0.0000, 0.0000, 0.3758) (multiplicity 1)
Tm (0.6667, 0.3333, 0.4974) (multiplicity 1)
Tm (0.6667, 0.3333, 0.8692) (multiplicity 1)
Ni (0.9997, 0.4998, 0.1885) (multiplicity 3)
Ni (0.1676, 0.3352, 0.6823) (multiplicity 3)
Ni (0.3333, 0.6667, 0.4339) (multiplicity 1)
Ni (0.3333, 0.6667, 0.9340) (multiplicity 1)

Summary:
E_form ... -0.4386 eV/atom



[12]
This record from Alexandria via LeMat-Bulk describes a relaxed structure of SmTmNi4. The functional is PBE.

a = 7.180 Å, b = 7.180 Å, c = 7.180 Å
α = 90.00°, β = 90.00°, γ = 90.00°
Space group F-43m (No. 216)
One atom of each set of equivalent atoms:
Sm (0.000, 0.000, 0.000) (multiplicity 4)
Tm (0.250, 0.250, 0.750) (multiplicity 4)
Ni (0.124, 0.124, 0.376) (multiplicity 16)

Summary:
E_form ... -0.4289 eV/atom